(1)
DFT (PBEsol) results for YBrCl after structural relaxation.

a = 4.817 Å, b = 4.817 Å, c = 4.817 Å
α = 60.00°, β = 60.00°, γ = 60.00°
Element x y z (fractional)
Y  0.000  0.000  0.000
Br  0.750  0.750  0.750
Cl  0.500  0.500  0.500

Results
electronic total energy: -0.3364 Ry/atom
total magnetic moment: 0.33 μB/atom
ρ: 4.293 Mg/m³
space group: F-43m (216)
Fermi-level density of states: 1.207 states/eV/f.u.

(2)
DFT (PBEsol) results for Ca2ZnAg after structural relaxation.

a = 6.073 Å, b = 6.073 Å, c = 6.073 Å
α = 144.91°, β = 130.93°, γ = 61.75°
Element x y z (fractional)
Ca  0.000  0.000  0.000
Ca  0.706  0.206  0.500
Zn  0.260  0.760  0.500
Ag  0.442  0.442  0.000

Results
electronic total energy: -0.1813 Ry/atom
total magnetic moment: 0.00 μB/atom
formation energy from the elements: -68 kJ/mol of formula units
ρ: 4.372 Mg/m³
space group: Imm2 (44)
Fermi-level density of states: 2.855 states/eV/f.u.

(3)
DFT (PBEsol) results for CoPb after structural relaxation.

a = 3.236 Å, b = 3.236 Å, c = 3.237 Å
α = 90.00°, β = 90.00°, γ = 90.24°
Element x y z (fractional)
Co  0.000  0.000  0.000
Pb  0.500  0.500  0.500

Results
electronic total energy: -0.3896 Ry/atom
total magnetic moment: 0.48 μB/atom
formation energy from the elements: 109 kJ/mol of formula units
ρ: 13.040 Mg/m³
space group: Cmmm (65)
Fermi-level density of states: 1.114 states/eV/f.u.

(4)
DFT (PBEsol) results for ZrSb2Cl after structural relaxation.

a = 3.605 Å, b = 8.107 Å, c = 8.107 Å
α = 26.19°, β = 90.00°, γ = 90.00°
Element x y z (fractional)
Zr  0.000  0.000  0.000
Sb  0.000  0.197  0.197
Sb  0.500  0.586  0.586
Cl  0.500  0.884  0.884

Results
electronic total energy: -0.4185 Ry/atom
total magnetic moment: 0.00 μB/atom
ρ: 5.878 Mg/m³
space group: Amm2 (38)
Fermi-level density of states: 1.450 states/eV/f.u.

(5)
DFT (PBEsol) results for Ca2GaAg2 after structural relaxation.

a = 7.424 Å, b = 7.424 Å, c = 4.181 Å
α = 90.00°, β = 90.00°, γ = 90.00°
Element x y z (fractional)
Ca  0.176  0.324  0.000
Ca  0.324  0.824  0.000
Ca  0.676  0.176  0.000
Ca  0.824  0.676  0.000
Ga  0.000  0.000  0.500
Ga  0.500  0.500  0.500
Ag  0.130  0.630  0.500
Ag  0.370  0.130  0.500
Ag  0.630  0.870  0.500
Ag  0.870  0.370  0.500

Results
electronic total energy: -0.2297 Ry/atom
total magnetic moment: 0.00 μB/atom
formation energy from the elements: -135 kJ/mol of formula units
ρ: 5.269 Mg/m³
space group: P4/mbm (127)
Fermi-level density of states: 3.067 states/eV/f.u.

(6)
DFT (PBEsol) results for Y2MgF after structural relaxation.

a = 5.122 Å, b = 5.122 Å, c = 5.122 Å
α = 60.00°, β = 60.00°, γ = 60.00°
Element x y z (fractional)
Y  0.250  0.250  0.250
Y  0.750  0.750  0.750
Mg  0.000  0.000  0.000
F  0.500  0.500  0.500

Results
electronic total energy: -0.3549 Ry/atom
total magnetic moment: 0.00 μB/atom
ρ: 3.863 Mg/m³
space group: Fm-3m (225)
Fermi-level density of states: 4.562 states/eV/f.u.